A plane-wave DFT calculation with GGA-PBE was carried out for a geometry-optimized NbVGaPt structure. Values from VASP.

```
&SYSTEM
  ibrav = 0, nat = 4, ntyp = 4
/
ATOMIC_SPECIES
Nb 92.91 Nb.upf
Ga 69.72 Ga.upf
Pt 195.08 Pt.upf
V 50.94 V.upf
ATOMIC_POSITIONS angstrom
Nb 6.653 3.841 2.716
Ga 4.435 2.561 1.811
Pt 2.218 1.280 0.905
V 0.000 0.000 0.000
CELL_PARAMETERS angstrom
4.435 0.000 0.000
2.218 3.841 0.000
2.218 1.280 3.621
```

Output
size of the total moment	0.00	μB per formula unit
Fermi-level density of states	4.37	states/eV/cell
total DFT energy (no corrections)	-29.21	eV/cell
symmetry	F-43m, No. 216